Density functional theory data (GGA-PBE) for crystalline ZnCuPd2 at its relaxed geometry.

Unit cell a=4.2867 b=4.2867 c=7.8381 alpha=90.00 beta=90.00 gamma=120.00
Last column: nearest neighbours and their distance in Å.
Fractional positions:
Cu: 0.0000 0.0000 0.0000  6 Pd 2.56
Cu: 0.0000 0.0000 0.5000  6 Pd 2.56
Pd: 0.6667 0.3333 0.0818  3 Cu 2.56, 4 Zn 2.60-2.80, 4 Pd 2.64-2.79
Pd: 0.6667 0.3333 0.4182  3 Cu 2.56, 4 Zn 2.60-2.80, 4 Pd 2.64-2.79
Pd: 0.3333 0.6667 0.5818  3 Cu 2.56, 4 Zn 2.60-2.80, 4 Pd 2.64-2.79
Pd: 0.3333 0.6667 0.9182  3 Cu 2.56, 4 Zn 2.60-2.80, 4 Pd 2.64-2.79
Zn: 0.3333 0.6667 0.2500  8 Pd 2.60-2.80
Zn: 0.6667 0.3333 0.7500  8 Pd 2.60-2.80

Calculated values
Its volume is 15.592 Å³ per atom. As for the energy: -3.9952 eV/atom. The space group is P6_3/mmc. Its energy of formation is -0.16 eV per atom.